{
  "formula": "Ti3Cu",
  "functional": "PBE",
  "state": "optimized geometry",
  "magmom_total_mub_per_atom": 0.0000,
  "dos_at_fermi_per_ev_cell": 4.7,
  "total_energy_ev_per_fu": -27.834,
  "sg": "Imm2",
  "lattice_angstrom": [[-1.447, 4.514, 2.433], [1.447, -4.514, 2.433], [1.447, 4.514, -2.433]],
  "species": ["Ti", "Ti", "Ti", "Cu"],
  "frac_coords": [[0.000, 0.000, 0.000], [0.380, 0.606, 0.774], [0.832, 0.606, 0.226], [0.450, 0.950, 0.500]]
}

---

{
  "formula": "TiTlCu2",
  "functional": "PBE",
  "state": "optimized geometry",
  "magmom_total_mub_per_atom": 0.0000,
  "dos_at_fermi_per_ev_cell": 11.3,
  "total_energy_ev_per_fu": -16.614,
  "sg": "I-42d",
  "lattice_angstrom": [[-3.582, 3.582, 2.805], [3.582, -3.582, 2.805], [3.582, 3.582, -2.805]],
  "species": ["Ti", "Ti", "Tl", "Tl", "Cu", "Cu", "Cu", "Cu"],
  "frac_coords": [[0.000, 0.000, 0.000], [0.750, 0.250, 0.500], [0.250, 0.750, 0.500], [0.500, 0.500, 0.000], [0.109, 0.125, 0.484], [0.375, 0.891, 0.016], [0.641, 0.625, 0.516], [0.875, 0.359, 0.984]]
}

---

{
  "formula": "Ti12Tl3Cu",
  "functional": "PBE",
  "state": "optimized geometry",
  "magmom_total_mub_per_atom": 0.0000,
  "dos_at_fermi_per_ev_cell": 18.8,
  "total_energy_ev_per_fu": -105.610,
  "sg": "P4/mmm",
  "lattice_angstrom": [[4.151, 0.000, 0.000], [0.000, 4.151, 0.000], [0.000, 0.000, 16.399]],
  "species": ["Ti", "Ti", "Ti", "Ti", "Ti", "Ti", "Ti", "Ti", "Ti", "Ti", "Ti", "Ti", "Tl", "Tl", "Tl", "Cu"],
  "frac_coords": [[0.000, 0.000, 0.000], [0.000, 0.000, 0.242], [0.000, 0.000, 0.500], [0.000, 0.000, 0.758], [0.000, 0.500, 0.113], [0.000, 0.500, 0.372], [0.000, 0.500, 0.628], [0.000, 0.500, 0.887], [0.500, 0.000, 0.113], [0.500, 0.000, 0.372], [0.500, 0.000, 0.628], [0.500, 0.000, 0.887], [0.500, 0.500, 0.242], [0.500, 0.500, 0.500], [0.500, 0.500, 0.758], [0.500, 0.500, 0.000]]
}

---

{
  "formula": "Ti2TlCu2",
  "functional": "PBE",
  "state": "optimized geometry",
  "magmom_total_mub_per_atom": 0.2992,
  "dos_at_fermi_per_ev_cell": 5.7,
  "total_energy_ev_per_fu": -24.509,
  "sg": "I4/mmm",
  "lattice_angstrom": [[-1.901, 1.901, 6.169], [1.901, -1.901, 6.169], [1.901, 1.901, -6.169]],
  "species": ["Ti", "Ti", "Tl", "Cu", "Cu"],
  "frac_coords": [[0.105, 0.105, 0.000], [0.895, 0.895, 0.000], [0.500, 0.500, 0.000], [0.250, 0.750, 0.500], [0.750, 0.250, 0.500]]
}